1.
First-principles (PBE-GGA) data for crystalline Th3Ni4Pd at its relaxed geometry, as listed in the Alexandria database.

abc: 3.972 3.983 10.967
angles: 111.00 100.43 90.00
Atoms (fractional coordinates):
Ni 0.284 0.065 0.568
Ni 0.402 0.313 0.805
Ni 0.598 0.687 0.195
Pd 0.500 0.000 0.000
Th 0.837 0.676 0.674
Th 0.163 0.324 0.326
Ni 0.716 0.935 0.432
Th 0.000 0.500 0.000

Computed properties:
- ΔH_f (0 K): -0.49 eV per atom
- Symmetry: C2/m (12)
- Crystal system: monoclinic

---

2.
First-principles (PBE-GGA) data for crystalline Mg4RuCl at its relaxed geometry, as listed in the Alexandria database.

abc: 5.582 5.582 5.582
angles: 60.00 60.00 60.00
Atoms (fractional coordinates):
Mg 0.376 0.376 0.871
Mg 0.376 0.871 0.376
Cl 0.000 0.000 0.000
Mg 0.376 0.376 0.376
Mg 0.871 0.376 0.376
Ru 0.750 0.750 0.750

Computed properties:
- Uncorrected formation energy: 371 meV/atom
- Symmetry: F-43m (216)
- Crystal system: cubic